i.
Material: CaCl5
Method: DFT, GGA-PBE
State: optimized geometry

The theoretical density is 1.876 g/cm³. For the calculated volume, the calculation gives 32.06 A^3/atom. The value obtained for the total moment is 0.98 μB per formula unit.

It has space group P1 (No. 1), with a = 4.239 Å, b = 5.401 Å, c = 8.670 Å, α = 84.74°, β = 78.29° and γ = 82.68°. Symmetry generates all atoms from Ca at (0.000, 0.000, 0.000), Cl at (0.407, 0.015, 0.215), Cl at (0.490, 0.393, 0.607), Cl at (0.506, 0.608, 0.395), Cl at (0.594, 0.984, 0.784) and Cl at (0.999, 0.500, 0.999).


ii.
Material: CaCl5
Method: DFT, GGA-PBE
State: optimized geometry

The theoretical density is 2.247 g/cm³. For the calculated volume, the calculation gives 26.77 A^3/atom. The value obtained for the total moment is 3.04 μB per formula unit.

It has space group P-62m (No. 189), with a = 6.7708 Å, b = 6.7708 Å, c = 4.0451 Å, α = 90.00°, β = 90.00° and γ = 120.00°. Symmetry generates all atoms from Ca at (0.0000, 0.0000, 0.0000), Cl at (0.0000, 0.7100, 0.5000) and Cl at (0.3333, 0.6667, 0.0000).


iii.
Material: CaCl5
Method: DFT, GGA-PBE
State: optimized geometry

The theoretical density is 2.184 g/cm³. For the calculated volume, the calculation gives 27.55 A^3/atom. The value obtained for the total moment is 3.08 μB per formula unit.

It has space group P4/mmm (No. 123), with a = 3.498 Å, b = 3.498 Å, c = 13.508 Å, α = 90.00°, β = 90.00° and γ = 90.00°. Symmetry generates all atoms from Ca at (0.000, 0.000, 0.000), Cl at (0.000, 0.000, 0.371), Cl at (0.500, 0.500, 0.115) and Cl at (0.500, 0.500, 0.500).


iv.
Material: CaCl5
Method: DFT, GGA-PBE
State: optimized geometry

The theoretical density is 1.931 g/cm³. For the calculated volume, the calculation gives 31.14 A^3/atom. The value obtained for the total moment is 0.99 μB per formula unit.

It has space group P1 (No. 1), with a = 4.185 Å, b = 5.094 Å, c = 9.617 Å, α = 90.87°, β = 91.03° and γ = 114.25°. Symmetry generates all atoms from Ca at (0.000, 0.000, 0.000), Cl at (0.122, 0.172, 0.277), Cl at (0.310, 0.613, 0.061), Cl at (0.562, 0.138, 0.834), Cl at (0.744, 0.542, 0.614) and Cl at (0.808, 0.855, 0.470).


i has the most favorable energy; the next structure is 10 meV per atom above.


i.
Material: Ca4Cl
Method: DFT, GGA-PBE
State: optimized geometry

The theoretical density is 1.735 g/cm³. For the calculated volume, the calculation gives 37.48 A^3/atom. The value obtained for the total moment is 0.00 μB per formula unit.

It has space group Pm-3m (No. 221), with a = 5.723 Å, b = 5.723 Å, c = 5.723 Å, α = 90.00°, β = 90.00° and γ = 90.00°. Symmetry generates all atoms from Ca at (0.000, 0.000, 0.000), Ca at (0.000, 0.500, 0.500) and Cl at (0.500, 0.500, 0.500).


ii.
Material: Ca4Cl
Method: DFT, GGA-PBE
State: optimized geometry

The theoretical density is 1.724 g/cm³. For the calculated volume, the calculation gives 37.71 A^3/atom. The value obtained for the total moment is 0.00 μB per formula unit.

It has space group Im-3m (No. 229), with a = 7.225 Å, b = 7.225 Å, c = 7.225 Å, α = 90.00°, β = 90.00° and γ = 90.00°. Symmetry generates all atoms from Ca at (0.250, 0.250, 0.250) and Cl at (0.000, 0.000, 0.000).


i has the most favorable energy; the next structure is 301 meV per atom above.


i.
Material: Ca2CoCl
Method: DFT, GGA-PBE
State: optimized geometry

The theoretical density is 2.850 g/cm³. For the calculated volume, the calculation gives 25.42 A^3/atom. The value obtained for the total moment is 0.82 μB per formula unit.

It has space group I-4m2 (No. 119), with a = 3.997 Å, b = 3.997 Å, c = 12.728 Å, α = 90.00°, β = 90.00° and γ = 90.00°. Symmetry generates all atoms from Ca at (0.000, 0.000, 0.000), Ca at (0.000, 0.500, 0.250), Co at (0.000, 0.000, 0.500) and Cl at (0.000, 0.500, 0.750).


ii.
Material: Ca2CoCl
Method: DFT, GGA-PBE
State: optimized geometry

The theoretical density is 2.417 g/cm³. For the calculated volume, the calculation gives 29.98 A^3/atom. The value obtained for the total moment is 1.74 μB per formula unit.

It has space group P4mm (No. 99), with a = 3.561 Å, b = 3.561 Å, c = 9.457 Å, α = 90.00°, β = 90.00° and γ = 90.00°. Symmetry generates all atoms from Ca at (0.000, 0.000, 0.000), Ca at (0.500, 0.500, 0.341), Co at (0.500, 0.500, 0.837) and Cl at (0.000, 0.000, 0.481).


iii.
Material: Ca2CoCl
Method: DFT, GGA-PBE
State: optimized geometry

The theoretical density is 3.017 g/cm³. For the calculated volume, the calculation gives 24.02 A^3/atom. The value obtained for the total moment is 0.55 μB per formula unit.

It has space group R-3m (No. 166, hexagonal axes), with a = 3.7922 Å, b = 3.7922 Å, c = 23.1405 Å, α = 90.00°, β = 90.00° and γ = 120.00°. Symmetry generates all atoms from Ca at (0.0000, 0.0000, 0.2425), Co at (0.0000, 0.0000, 0.5000) and Cl at (0.0000, 0.0000, 0.0000).


iv.
Material: Ca2CoCl
Method: DFT, GGA-PBE
State: optimized geometry

The theoretical density is 2.712 g/cm³. For the calculated volume, the calculation gives 26.72 A^3/atom. The value obtained for the total moment is 0.96 μB per formula unit.

It has space group Immm (No. 71), with a = 3.887 Å, b = 6.537 Å, c = 8.412 Å, α = 90.00°, β = 90.00° and γ = 90.00°. Symmetry generates all atoms from Ca at (0.000, 0.000, 0.240), Co at (0.000, 0.500, 0.000) and Cl at (0.000, 0.500, 0.500).


iii has the most favorable energy; the next structure is 337 meV per atom above.


i.
Material: CaCo3Cl
Method: DFT, GGA-PBE
State: optimized geometry

The theoretical density is 3.733 g/cm³. For the calculated volume, the calculation gives 22.45 A^3/atom. The value obtained for the total moment is 4.32 μB per formula unit.

It has space group Pm-3m (No. 221), with a = 4.824 Å, b = 4.824 Å, c = 4.824 Å, α = 90.00°, β = 90.00° and γ = 90.00°. Symmetry generates all atoms from Ca at (0.000, 0.000, 0.000), Co at (0.000, 0.000, 0.500) and Cl at (0.500, 0.500, 0.500).


ii.
Material: CaCo3Cl
Method: DFT, GGA-PBE
State: optimized geometry

The theoretical density is 5.494 g/cm³. For the calculated volume, the calculation gives 15.25 A^3/atom. The value obtained for the total moment is 2.03 μB per formula unit.

It has space group Pm-3m (No. 221), with a = 4.241 Å, b = 4.241 Å, c = 4.241 Å, α = 90.00°, β = 90.00° and γ = 90.00°. Symmetry generates all atoms from Ca at (0.000, 0.000, 0.000), Co at (0.000, 0.500, 0.500) and Cl at (0.500, 0.500, 0.500).


ii has the most favorable energy; the next structure is 1386 meV per atom above.


i.
Material: Ca2CoCl6
Method: DFT, GGA-PBE
State: optimized geometry

The theoretical density is 2.268 g/cm³. For the calculated volume, the calculation gives 28.62 A^3/atom. The value obtained for the total moment is 1.00 μB per formula unit.

It has space group C2/m (No. 12), with a = 13.904 Å, b = 3.851 Å, c = 11.121 Å, α = 90.00°, β = 120.09° and γ = 90.00°. Symmetry generates all atoms from Ca at (0.191, 0.000, 0.306), Co at (0.000, 0.500, 0.000), Cl at (0.014, 0.500, 0.207), Cl at (0.159, 0.000, 0.535) and Cl at (0.183, 0.500, 0.104).


ii.
Material: Ca2CoCl6
Method: DFT, GGA-PBE
State: optimized geometry

The theoretical density is 2.709 g/cm³. For the calculated volume, the calculation gives 23.96 A^3/atom. The value obtained for the total moment is 3.00 μB per formula unit.

It has space group P2_1/c (No. 14), with a = 6.426 Å, b = 6.989 Å, c = 11.219 Å, α = 90.00°, β = 121.14° and γ = 90.00°. Symmetry generates all atoms from Ca at (0.186, 0.102, 0.236), Co at (0.500, 0.000, 0.000), Cl at (0.134, 0.180, 0.941), Cl at (0.256, 0.697, 0.922) and Cl at (0.416, 0.052, 0.767).


ii has the most favorable energy; the next structure is 62 meV per atom above.


i.
Material: Ca2CrCl
Method: DFT, GGA-PBE
State: optimized geometry

The theoretical density is 2.381 g/cm³. For the calculated volume, the calculation gives 29.23 A^3/atom. The value obtained for the total moment is 4.86 μB per formula unit.

It has space group I-4m2 (No. 119), with a = 4.287 Å, b = 4.287 Å, c = 12.722 Å, α = 90.00°, β = 90.00° and γ = 90.00°. Symmetry generates all atoms from Ca at (0.000, 0.000, 0.000), Ca at (0.000, 0.500, 0.250), Cr at (0.000, 0.000, 0.500) and Cl at (0.000, 0.500, 0.750).


ii.
Material: Ca2CrCl
Method: DFT, GGA-PBE
State: optimized geometry

The theoretical density is 2.274 g/cm³. For the calculated volume, the calculation gives 30.59 A^3/atom. The value obtained for the total moment is 5.11 μB per formula unit.

It has space group Immm (No. 71), with a = 3.828 Å, b = 6.560 Å, c = 9.746 Å, α = 90.00°, β = 90.00° and γ = 90.00°. Symmetry generates all atoms from Ca at (0.000, 0.000, 0.211), Cr at (0.000, 0.500, 0.000) and Cl at (0.000, 0.500, 0.500).


iii.
Material: Ca2CrCl
Method: DFT, GGA-PBE
State: optimized geometry

The theoretical density is 2.592 g/cm³. For the calculated volume, the calculation gives 26.84 A^3/atom. The value obtained for the total moment is 4.16 μB per formula unit.

It has space group R-3m (No. 166, hexagonal axes), with a = 3.7513 Å, b = 3.7513 Å, c = 26.4292 Å, α = 90.00°, β = 90.00° and γ = 120.00°. Symmetry generates all atoms from Ca at (0.0000, 0.0000, 0.2467), Cr at (0.0000, 0.0000, 0.0000) and Cl at (0.0000, 0.0000, 0.5000).


iii has the most favorable energy; the next structure is 147 meV per atom above.


i.
Material: Ca2CrCl
Method: DFT, GGA-PBE
State: optimized geometry

The theoretical density is 2.327 g/cm³. For the calculated volume, the calculation gives 29.91 A^3/atom. The value obtained for the total moment is 4.94 μB per formula unit.

It has space group F-43m (No. 216), with a = 7.821 Å, b = 7.821 Å, c = 7.821 Å, α = 90.00°, β = 90.00° and γ = 90.00°. Symmetry generates all atoms from Ca at (0.000, 0.000, 0.000), Ca at (0.250, 0.250, 0.250), Cr at (0.250, 0.250, 0.750) and Cl at (0.000, 0.000, 0.500).


ii.
Material: Ca2CrCl
Method: DFT, GGA-PBE
State: optimized geometry

The theoretical density is 2.632 g/cm³. For the calculated volume, the calculation gives 26.44 A^3/atom. The value obtained for the total moment is 4.23 μB per formula unit.

It has space group P4/mmm (No. 123), with a = 3.590 Å, b = 3.590 Å, c = 8.207 Å, α = 90.00°, β = 90.00° and γ = 90.00°. Symmetry generates all atoms from Ca at (0.000, 0.000, 0.241), Cr at (0.500, 0.500, 0.000) and Cl at (0.500, 0.500, 0.500).


iii.
Material: Ca2CrCl
Method: DFT, GGA-PBE
State: optimized geometry

The theoretical density is 2.397 g/cm³. For the calculated volume, the calculation gives 29.03 A^3/atom. The value obtained for the total moment is 5.16 μB per formula unit.

It has space group Pmm2 (No. 25), with a = 4.283 Å, b = 4.293 Å, c = 6.316 Å, α = 90.00°, β = 90.00° and γ = 90.00°. Symmetry generates all atoms from Ca at (0.000, 0.000, 0.000), Ca at (0.500, 0.500, 0.464), Cr at (0.000, 0.000, 0.500) and Cl at (0.500, 0.500, 0.989).


iv.
Material: Ca2CrCl
Method: DFT, GGA-PBE
State: optimized geometry

The theoretical density is 2.433 g/cm³. For the calculated volume, the calculation gives 28.60 A^3/atom. The value obtained for the total moment is 5.30 μB per formula unit.

It has space group I4/mmm (No. 139), with a = 5.085 Å, b = 5.085 Å, c = 8.848 Å, α = 90.00°, β = 90.00° and γ = 90.00°. Symmetry generates all atoms from Ca at (0.000, 0.500, 0.250), Cr at (0.000, 0.000, 0.000) and Cl at (0.000, 0.000, 0.500).


ii has the most favorable energy; the next structure is 106 meV per atom above.


i.
Material: Ca2CrCl
Method: DFT, GGA-PBE
State: optimized geometry

The theoretical density is 2.369 g/cm³. For the calculated volume, the calculation gives 29.37 A^3/atom. The value obtained for the total moment is 4.40 μB per formula unit.

It has space group P2/m (No. 10), with a = 3.886 Å, b = 3.613 Å, c = 8.366 Å, α = 90.00°, β = 90.14° and γ = 90.00°. Symmetry generates all atoms from Ca at (0.001, 0.000, 0.233), Cr at (0.500, 0.500, 0.000) and Cl at (0.000, 0.500, 0.500).


ii.
Material: Ca2CrCl
Method: DFT, GGA-PBE
State: optimized geometry

The theoretical density is 2.406 g/cm³. For the calculated volume, the calculation gives 28.92 A^3/atom. The value obtained for the total moment is 4.91 μB per formula unit.

It has space group Fm-3m (No. 225), with a = 7.734 Å, b = 7.734 Å, c = 7.734 Å, α = 90.00°, β = 90.00° and γ = 90.00°. Symmetry generates all atoms from Ca at (0.250, 0.250, 0.250), Cr at (0.000, 0.000, 0.000) and Cl at (0.000, 0.000, 0.500).


iii.
Material: Ca2CrCl
Method: DFT, GGA-PBE
State: optimized geometry

The theoretical density is 2.474 g/cm³. For the calculated volume, the calculation gives 28.12 A^3/atom. The value obtained for the total moment is 4.41 μB per formula unit.

It has space group Imm2 (No. 44), with a = 3.506 Å, b = 3.744 Å, c = 17.143 Å, α = 90.00°, β = 90.00° and γ = 90.00°. Symmetry generates all atoms from Ca at (0.000, 0.000, 0.000), Ca at (0.000, 0.500, 0.248), Cr at (0.000, 0.000, 0.390) and Cl at (0.000, 0.500, 0.654).


i has the most favorable energy; the next structure is 129 meV per atom above.